Entry 1:
! PmErTmTl (PBE-GGA, relaxed); values from VASP
! **V**: 114.71 Å³/cell
! **DFT formation energy**: -0.175 eV per atom
&SYSTEM
  ibrav = 0, nat = 4, ntyp = 4
/
ATOMIC_SPECIES
Tm 168.93 Tm.upf
Tl 204.38 Tl.upf
Er 167.26 Er.upf
Pm 145.00 Pm.upf
CELL_PARAMETERS angstrom
-2.7823 0.4349 3.9911
-2.7018 -3.7018 -1.4801
2.9290 -3.0888 2.3784
ATOMIC_POSITIONS crystal
Tm 0.5000 0.0000 0.5000
Tl 0.5000 0.5000 0.0000
Er 0.0000 0.0000 0.0000
Pm 0.0000 0.5000 0.5000

---

Entry 2:
! Na3TmU3S8 (PBE-GGA, relaxed); values from VASP
! **V**: 367.32 Å³/cell
! **Uncorrected formation energy**: -1.484 eV/atom
&SYSTEM
  ibrav = 0, nat = 15, ntyp = 4
/
ATOMIC_SPECIES
Na 22.99 Na.upf
S 32.06 S.upf
U 238.03 U.upf
Tm 168.93 Tm.upf
CELL_PARAMETERS angstrom
7.9227 0.0000 0.0000
-3.9613 6.8595 -0.0259
0.0000 -4.5502 6.7761
ATOMIC_POSITIONS crystal
Na 0.0000 0.0000 0.0000
Na 0.5000 0.5000 0.0000
Na 0.0000 0.5000 0.0000
S 0.2388 0.9828 0.7213
S 0.7612 0.0172 0.2787
S 0.7434 0.4867 0.7299
S 0.2566 0.5133 0.2701
S 0.2560 0.0172 0.2787
S 0.2388 0.4776 0.7213
S 0.7440 0.9828 0.7213
S 0.7612 0.5224 0.2787
U 0.5000 0.5000 0.5000
U 0.5000 0.0000 0.5000
U 0.0000 0.5000 0.5000
Tm 0.0000 0.0000 0.5000

---

Entry 3:
! Mn2ReCl (PBE-GGA, relaxed); values from VASP
! **V**: 61.45 Å³/cell
! **Uncorrected formation energy**: 0.174 eV/atom
&SYSTEM
  ibrav = 0, nat = 4, ntyp = 3
/
ATOMIC_SPECIES
Cl 35.45 Cl.upf
Mn 54.94 Mn.upf
Re 186.21 Re.upf
CELL_PARAMETERS angstrom
-2.1486 1.3664 1.5580
0.0730 -0.0304 2.9840
3.5567 7.1772 1.4893
ATOMIC_POSITIONS crystal
Cl 0.2500 0.2500 0.2500
Mn 0.0004 0.0004 0.9986
Mn 0.4996 0.4996 0.5014
Re 0.7500 0.7500 0.7500

---

Entry 4:
! Y2Co3Si4 (PBE-GGA, relaxed); values from VASP
! **V**: 266.87 Å³/cell
! **Uncorrected formation energy**: -0.678 eV/atom
&SYSTEM
  ibrav = 0, nat = 18, ntyp = 3
/
ATOMIC_SPECIES
Co 58.93 Co.upf
Si 28.09 Si.upf
Y 88.91 Y.upf
CELL_PARAMETERS angstrom
-1.1237 2.9321 4.3473
-6.0742 1.9494 -2.8849
-2.6437 -7.0786 0.7832
ATOMIC_POSITIONS crystal
Co 0.5000 0.5000 0.0000
Co 0.5214 0.7500 0.5428
Co 0.9786 0.2500 0.4572
Co 0.0214 0.7500 0.5428
Co 0.4786 0.2500 0.4572
Co 0.0000 0.0000 0.0000
Si 0.1835 0.9845 0.3669
Si 0.8165 0.0155 0.6331
Si 0.6835 0.5155 0.3669
Si 0.3165 0.4845 0.6331
Si 0.6854 0.7500 0.8708
Si 0.3146 0.2500 0.1292
Si 0.8146 0.2500 0.1292
Si 0.1854 0.7500 0.8708
Y 0.3914 0.0991 0.7828
Y 0.6086 0.9009 0.2172
Y 0.8914 0.4009 0.7828
Y 0.1086 0.5991 0.2172

---

Entry 5:
! CaTcRh (PBE-GGA, relaxed); values from VASP
! **V**: 116.76 Å³/cell
! **DFT formation energy**: -0.069 eV per atom
&SYSTEM
  ibrav = 0, nat = 6, ntyp = 3
/
ATOMIC_SPECIES
Rh 102.91 Rh.upf
Ca 40.08 Ca.upf
Tc 98.00 Tc.upf
CELL_PARAMETERS angstrom
5.6354 0.0046 -0.0012
1.6424 3.9827 -0.0008
-1.0026 -1.9142 5.2045
ATOMIC_POSITIONS crystal
Rh 0.2276 0.8581 0.1681
Rh 0.0158 0.5696 0.3795
Ca 0.9792 0.2856 0.7750
Ca 0.6229 0.1420 0.1313
Tc 0.5488 0.8788 0.5308
Tc 0.3786 0.5489 0.7008

---

Entry 6:
! Nd4DyHg5 (PBE-GGA, relaxed); values from VASP
! **V**: 277.56 Å³/cell
! **DFT formation energy**: -0.472 eV per atom
&SYSTEM
  ibrav = 0, nat = 10, ntyp = 3
/
ATOMIC_SPECIES
Hg 200.59 Hg.upf
Nd 144.24 Nd.upf
Dy 162.50 Dy.upf
CELL_PARAMETERS angstrom
-3.1830 -2.0851 -0.2393
1.9485 -2.7743 -1.7444
3.9054 -7.9060 16.9363
ATOMIC_POSITIONS crystal
Hg 0.5000 0.5000 0.2979
Hg 0.5000 0.5000 0.9084
Hg 0.5000 0.5000 0.7021
Hg 0.5000 0.5000 0.0916
Hg 0.5000 0.5000 0.5000
Nd 0.0000 0.0000 0.1961
Nd 0.0000 0.0000 0.8039
Nd 0.0000 0.0000 0.3986
Nd 0.0000 0.0000 0.6014
Dy 0.0000 0.0000 0.0000

---

Repeat the fifth record exactly.
! CaTcRh (PBE-GGA, relaxed); values from VASP
! **V**: 116.76 Å³/cell
! **DFT formation energy**: -0.069 eV per atom
&SYSTEM
  ibrav = 0, nat = 6, ntyp = 3
/
ATOMIC_SPECIES
Rh 102.91 Rh.upf
Ca 40.08 Ca.upf
Tc 98.00 Tc.upf
CELL_PARAMETERS angstrom
5.6354 0.0046 -0.0012
1.6424 3.9827 -0.0008
-1.0026 -1.9142 5.2045
ATOMIC_POSITIONS crystal
Rh 0.2276 0.8581 0.1681
Rh 0.0158 0.5696 0.3795
Ca 0.9792 0.2856 0.7750
Ca 0.6229 0.1420 0.1313
Tc 0.5488 0.8788 0.5308
Tc 0.3786 0.5489 0.7008